Compound: TaAl2Os
Source: Alexandria
Functional: PBE-GGA
Structure: relaxed

Calculated values
E: -32.11 eV for the cell shown
Formation energy from the elements: -386 meV/atom
Offset from the most stable computed form: 0.0 meV per atom
Crystal system: tetragonal
Density of states at the Fermi level: 1.5 states/eV/f.u.

abc: 3.147 3.147 6.178
angles: 90.00 90.00 90.00
Element x y z (fractional)
1 Ta 0.500 0.500 0.745
2 Al 0.000 0.000 0.012
3 Os 0.000 0.000 0.481
4 Al 0.500 0.500 0.262